[1]
Here is ThPa2Ta after structural relaxation from Alexandria. Energies are from PBE.

Structure (CIF):
```
data_ThPa2Ta
_space_group_name_H-M_alt 'P 4/m m m'
_space_group_IT_number 123
_space_group_name_Hall '-P 4 2'
_cell_length_a 3.490
_cell_length_b 3.490
_cell_length_c 8.270
_cell_angle_alpha 90.00
_cell_angle_beta 90.00
_cell_angle_gamma 90.00
loop_
_atom_site_label
_atom_site_fract_x
_atom_site_fract_y
_atom_site_fract_z
Th1 0.000 0.000 0.000
Pa1 0.500 0.500 0.280
Ta1 0.000 0.000 0.500
```

Properties
E above lowest polymorph	0.000	eV/atom
DFT formation energy	0.86	eV/f.u.
E	-9.3523	eV per atom

---

[2]
Here is ThPa2Ta after structural relaxation from Alexandria. Energies are from PBE.

Structure (CIF):
```
data_ThPa2Ta
_space_group_name_H-M_alt 'F m -3 m'
_space_group_IT_number 225
_space_group_name_Hall '-F 4 2 3'
_cell_length_a 7.338
_cell_length_b 7.338
_cell_length_c 7.338
_cell_angle_alpha 90.00
_cell_angle_beta 90.00
_cell_angle_gamma 90.00
loop_
_atom_site_label
_atom_site_fract_x
_atom_site_fract_y
_atom_site_fract_z
Th1 0.000 0.000 0.000
Pa1 0.250 0.250 0.250
Ta1 0.000 0.000 0.500
```

Properties
E above lowest polymorph	0.191	eV/atom
DFT formation energy	1.62	eV/f.u.
E	-9.1616	eV per atom

---

[3]
Here is Pa2TaTi after structural relaxation from Alexandria. Energies are from PBE.

Structure (CIF):
```
data_Pa2TaTi
_space_group_name_H-M_alt 'P 4/m m m'
_space_group_IT_number 123
_space_group_name_Hall '-P 4 2'
_cell_length_a 4.179
_cell_length_b 4.179
_cell_length_c 4.909
_cell_angle_alpha 90.00
_cell_angle_beta 90.00
_cell_angle_gamma 90.00
loop_
_atom_site_label
_atom_site_fract_x
_atom_site_fract_y
_atom_site_fract_z
Pa1 0.000 0.500 0.000
Ta1 0.000 0.000 0.500
Ti1 0.500 0.500 0.500
```

Properties
E above lowest polymorph	0.000	eV/atom
DFT formation energy	0.86	eV/f.u.
E	-9.4695	eV per atom

---

[4]
Here is Pa2TaTi after structural relaxation from Alexandria. Energies are from PBE.

Structure (CIF):
```
data_Pa2TaTi
_space_group_name_H-M_alt 'P 4/m m m'
_space_group_IT_number 123
_space_group_name_Hall '-P 4 2'
_cell_length_a 3.758
_cell_length_b 3.758
_cell_length_c 6.226
_cell_angle_alpha 90.00
_cell_angle_beta 90.00
_cell_angle_gamma 90.00
loop_
_atom_site_label
_atom_site_fract_x
_atom_site_fract_y
_atom_site_fract_z
Pa1 0.000 0.000 0.239
Ta1 0.500 0.500 0.500
Ti1 0.500 0.500 0.000
```

Properties
E above lowest polymorph	0.101	eV/atom
DFT formation energy	1.27	eV/f.u.
E	-9.3685	eV per atom

---

[5]
Here is Pa2TaTi after structural relaxation from Alexandria. Energies are from PBE.

Structure (CIF):
```
data_Pa2TaTi
_space_group_name_H-M_alt 'F m -3 m'
_space_group_IT_number 225
_space_group_name_Hall '-F 4 2 3'
_cell_length_a 7.065
_cell_length_b 7.065
_cell_length_c 7.065
_cell_angle_alpha 90.00
_cell_angle_beta 90.00
_cell_angle_gamma 90.00
loop_
_atom_site_label
_atom_site_fract_x
_atom_site_fract_y
_atom_site_fract_z
Pa1 0.250 0.250 0.250
Ta1 0.000 0.000 0.000
Ti1 0.000 0.000 0.500
```

Properties
E above lowest polymorph	0.137	eV/atom
DFT formation energy	1.41	eV/f.u.
E	-9.3322	eV per atom

---

[6]
Here is ZrPaTaTi after structural relaxation from Alexandria. Energies are from PBE.

Structure (CIF):
```
data_ZrPaTaTi
_space_group_name_H-M_alt 'F -4 3 m'
_space_group_IT_number 216
_space_group_name_Hall 'F -4 2 3'
_cell_length_a 6.924
_cell_length_b 6.924
_cell_length_c 6.924
_cell_angle_alpha 90.00
_cell_angle_beta 90.00
_cell_angle_gamma 90.00
loop_
_atom_site_label
_atom_site_fract_x
_atom_site_fract_y
_atom_site_fract_z
Zr1 0.000 0.000 0.000
Pa1 0.000 0.000 0.500
Ta1 0.250 0.250 0.750
Ti1 0.250 0.250 0.250
```

Properties
DFT formation energy	0.49	eV/f.u.
E	-9.3258	eV per atom

---

[7]
Here is Pa2TaTl after structural relaxation from Alexandria. Energies are from PBE.

Structure (CIF):
```
data_Pa2TaTl
_space_group_name_H-M_alt 'P 4/m m m'
_space_group_IT_number 123
_space_group_name_Hall '-P 4 2'
_cell_length_a 3.103
_cell_length_b 3.103
_cell_length_c 9.922
_cell_angle_alpha 90.00
_cell_angle_beta 90.00
_cell_angle_gamma 90.00
loop_
_atom_site_label
_atom_site_fract_x
_atom_site_fract_y
_atom_site_fract_z
Pa1 0.000 0.000 0.229
Ta1 0.500 0.500 0.000
Tl1 0.500 0.500 0.500
```

Properties
DFT formation energy	0.73	eV/f.u.
E	-8.1195	eV per atom

---

[8]
Here is Tm2PaTa after structural relaxation from Alexandria. Energies are from PBE.

Structure (CIF):
```
data_Tm2PaTa
_space_group_name_H-M_alt 'R -3 m'
_space_group_IT_number 166
_space_group_name_Hall '-R 3 2"'
_cell_length_a 3.1888
_cell_length_b 3.1888
_cell_length_c 34.3277
_cell_angle_alpha 90.00
_cell_angle_beta 90.00
_cell_angle_gamma 120.00
loop_
_atom_site_label
_atom_site_fract_x
_atom_site_fract_y
_atom_site_fract_z
Tm1 0.0000 0.0000 0.0855
Pa1 0.0000 0.0000 0.5000
Ta1 0.0000 0.0000 0.0000
```

Properties
DFT formation energy	2.19	eV/f.u.
E	-7.0243	eV per atom

---

[9]
Here is U2PaTa after structural relaxation from Alexandria. Energies are from PBE.

Structure (CIF):
```
data_U2PaTa
_space_group_name_H-M_alt 'P 4/m m m'
_space_group_IT_number 123
_space_group_name_Hall '-P 4 2'
_cell_length_a 5.318
_cell_length_b 5.318
_cell_length_c 3.004
_cell_angle_alpha 90.00
_cell_angle_beta 90.00
_cell_angle_gamma 90.00
loop_
_atom_site_label
_atom_site_fract_x
_atom_site_fract_y
_atom_site_fract_z
U1 0.000 0.500 0.000
Pa1 0.000 0.000 0.500
Ta1 0.500 0.500 0.500
```

Properties
E above lowest polymorph	0.000	eV/atom
DFT formation energy	1.17	eV/f.u.
E	-10.6884	eV per atom

---

[10]
Here is UPa2Ta after structural relaxation from Alexandria. Energies are from PBE.

Structure (CIF):
```
data_UPa2Ta
_space_group_name_H-M_alt 'P 4/m m m'
_space_group_IT_number 123
_space_group_name_Hall '-P 4 2'
_cell_length_a 3.625
_cell_length_b 3.625
_cell_length_c 6.723
_cell_angle_alpha 90.00
_cell_angle_beta 90.00
_cell_angle_gamma 90.00
loop_
_atom_site_label
_atom_site_fract_x
_atom_site_fract_y
_atom_site_fract_z
U1 0.000 0.000 0.000
Pa1 0.500 0.500 0.249
Ta1 0.000 0.000 0.500
```

Properties
E above lowest polymorph	0.000	eV/atom
DFT formation energy	0.86	eV/f.u.
E	-10.3178	eV per atom

---

[11]
Here is U2PaTa after structural relaxation from Alexandria. Energies are from PBE.

Structure (CIF):
```
data_U2PaTa
_space_group_name_H-M_alt 'P 4/m m m'
_space_group_IT_number 123
_space_group_name_Hall '-P 4 2'
_cell_length_a 3.443
_cell_length_b 3.443
_cell_length_c 7.336
_cell_angle_alpha 90.00
_cell_angle_beta 90.00
_cell_angle_gamma 90.00
loop_
_atom_site_label
_atom_site_fract_x
_atom_site_fract_y
_atom_site_fract_z
U1 0.000 0.000 0.242
Pa1 0.500 0.500 0.500
Ta1 0.500 0.500 0.000
```

Properties
E above lowest polymorph	0.075	eV/atom
DFT formation energy	1.47	eV/f.u.
E	-10.6132	eV per atom

---

[12]
Here is UPaTa after structural relaxation from Alexandria. Energies are from PBE.

Structure (CIF):
```
data_UPaTa
_space_group_name_H-M_alt 'P -6 m 2'
_space_group_IT_number 187
_space_group_name_Hall 'P -6 2'
_cell_length_a 4.9779
_cell_length_b 4.9779
_cell_length_c 2.8897
_cell_angle_alpha 90.00
_cell_angle_beta 90.00
_cell_angle_gamma 120.00
loop_
_atom_site_label
_atom_site_fract_x
_atom_site_fract_y
_atom_site_fract_z
U1 0.0000 0.0000 0.0000
Pa1 0.3333 0.6667 0.0000
Ta1 0.6667 0.3333 0.5000
```

Properties
E above lowest polymorph	0.000	eV/atom
DFT formation energy	0.13	eV/f.u.
E	-10.8345	eV per atom

---

For each record above, in turn, the calculated D(E_F) values are 1.965 2.515 1.494 2.357 2.847 1.885 1.985 1.680 2.678 2.240 2.879 1.647 states/eV/atom.